1.
Computed, not measured: a relaxed Ga2Sb2Br crystal at the PBE level of DFT.

Properties
**Crystal system**: tetragonal
**Fermi-level density of states**: 1.7 states/eV/f.u.
**Excess energy over the best structure of this formula in the dataset**: 0.000 eV per atom
**Uncorrected formation energy**: -0.08 eV/atom
**Total moment**: 0.00 μB per formula unit

Cell lengths 8.3015, 8.3015, 8.3015 Å; angles 151.31, 151.31, 41.03 degrees
Closest atoms and distances in Å follow each position.
Fractional coordinates of all 5 atoms:
Ga: 0.2500 0.7500 0.5000  4 Sb 2.84, 4 Ga 2.91
Ga: 0.7500 0.2500 0.5000  4 Sb 2.84, 4 Ga 2.91
Sb: 0.1240 0.1240 0.0000  4 Ga 2.84
Sb: 0.8760 0.8760 0.0000  4 Ga 2.84
Br: 0.5000 0.5000 0.0000  8 Sb 3.49

***

2.
Computed, not measured: a relaxed Ga2SbBr crystal at the PBE level of DFT.

Properties
**Crystal system**: cubic
**Fermi-level density of states**: 0.7 states/eV/f.u.
**Excess energy over the best structure of this formula in the dataset**: 0.000 eV per atom
**Uncorrected formation energy**: -0.03 eV/atom
**Total moment**: 0.00 μB per formula unit

Cell lengths 5.1499, 5.1499, 5.1499 Å; angles 60.00, 60.00, 60.00 degrees
Closest atoms and distances in Å follow each position.
Fractional coordinates of all 4 atoms:
Ga: 0.2500 0.2500 0.2500  4 Br 3.15, 4 Sb 3.15
Ga: 0.7500 0.7500 0.7500  4 Sb 3.15, 4 Br 3.15
Sb: 0.0000 0.0000 0.0000  8 Ga 3.15
Br: 0.5000 0.5000 0.5000  8 Ga 3.15

***

3.
Computed, not measured: a relaxed Ga2Sb2Br crystal at the PBE level of DFT.

Properties
**Crystal system**: tetragonal
**Fermi-level density of states**: 2.1 states/eV/f.u.
**Excess energy over the best structure of this formula in the dataset**: 0.109 eV per atom
**Uncorrected formation energy**: 0.03 eV/atom
**Total moment**: 0.00 μB per formula unit

Cell lengths 8.5405, 8.5405, 3.4590 Å; angles 90.00, 90.00, 90.00 degrees
Closest atoms and distances in Å follow each position.
Fractional coordinates of all 10 atoms:
Ga: 0.1443 0.3557 0.0000  6 Sb 3.02-3.06
Ga: 0.3557 0.8557 0.0000  6 Sb 3.02-3.06
Ga: 0.6443 0.1443 0.0000  6 Sb 3.02-3.06
Ga: 0.8557 0.6443 0.0000  6 Sb 3.02-3.06
Sb: 0.1509 0.6509 0.5000  6 Ga 3.02-3.06, 2 Br 3.25
Sb: 0.3491 0.1509 0.5000  6 Ga 3.02-3.06, 2 Br 3.25
Sb: 0.6509 0.8491 0.5000  6 Ga 3.02-3.06, 2 Br 3.25
Sb: 0.8491 0.3491 0.5000  6 Ga 3.02-3.06, 2 Br 3.25
Br: 0.0000 0.0000 0.5000  4 Sb 3.25, 2 Br 3.46
Br: 0.5000 0.5000 0.5000  4 Sb 3.25, 2 Br 3.46

***

4.
Computed, not measured: a relaxed GaSb2Br crystal at the PBE level of DFT.

Properties
**Crystal system**: cubic
**Fermi-level density of states**: 2.2 states/eV/f.u.
**Excess energy over the best structure of this formula in the dataset**: 0.231 eV per atom
**Uncorrected formation energy**: 0.20 eV/atom
**Total moment**: 0.00 μB per formula unit

Cell lengths 5.1941, 5.1941, 5.1941 Å; angles 60.00, 60.00, 60.00 degrees
Closest atoms and distances in Å follow each position.
Fractional coordinates of all 4 atoms:
Ga: 0.0000 0.0000 0.0000  8 Sb 3.18
Sb: 0.2500 0.2500 0.2500  4 Br 3.18, 4 Ga 3.18
Sb: 0.7500 0.7500 0.7500  4 Br 3.18, 4 Ga 3.18
Br: 0.5000 0.5000 0.5000  8 Sb 3.18

***

5.
Computed, not measured: a relaxed GaSb2Br8 crystal at the PBE level of DFT.

Properties
**Crystal system**: monoclinic
**Fermi-level density of states**: 4.2 states/eV/f.u.
**Uncorrected formation energy**: -0.53 eV/atom
**Total moment**: 0.00 μB per formula unit

Cell lengths 8.3242, 8.3242, 8.3974 Å; angles 93.26, 93.26, 56.09 degrees
Closest atoms and distances in Å follow each position.
Fractional coordinates of all 11 atoms:
Ga: 0.0000 0.0000 0.0000  6 Br 2.62-2.92
Sb: 0.1390 0.1390 0.3624  3 Br 2.57-2.63
Sb: 0.8610 0.8610 0.6376  3 Br 2.57-2.63
Br: 0.0732 0.0732 0.7241  1 Ga 2.62
Br: 0.1100 0.6264 0.8554  1 Sb 2.63, 1 Ga 2.92
Br: 0.3138 0.3138 0.4099  1 Sb 2.57
Br: 0.3736 0.8900 0.1446  1 Sb 2.63, 1 Ga 2.92
Br: 0.6264 0.1100 0.8554  1 Sb 2.63, 1 Ga 2.92
Br: 0.6862 0.6862 0.5901  1 Sb 2.57
Br: 0.8900 0.3736 0.1446  1 Sb 2.63, 1 Ga 2.92
Br: 0.9268 0.9268 0.2759  1 Ga 2.62

***

6.
Computed, not measured: a relaxed GaSbBr2 crystal at the PBE level of DFT.

Properties
**Crystal system**: tetragonal
**Fermi-level density of states**: 2.5 states/eV/f.u.
**Excess energy over the best structure of this formula in the dataset**: 0.217 eV per atom
**Uncorrected formation energy**: -0.03 eV/atom
**Total moment**: 0.00 μB per formula unit

Cell lengths 10.2657, 10.2657, 10.2657 Å; angles 151.30, 151.30, 41.04 degrees
Closest atoms and distances in Å follow each position.
Fractional coordinates of all 8 atoms:
Ga: 0.0000 0.0000 0.0000  4 Br 3.04
Ga: 0.7500 0.2500 0.5000  4 Br 3.04
Sb: 0.2500 0.7500 0.5000  4 Br 2.97
Sb: 0.5000 0.5000 0.0000  4 Br 2.97
Br: 0.1411 0.6250 0.0161  2 Sb 2.97, 2 Ga 3.04
Br: 0.3750 0.3911 0.5161  2 Sb 2.97, 2 Ga 3.04
Br: 0.6089 0.1250 0.9839  2 Sb 2.97, 2 Ga 3.04
Br: 0.8750 0.8589 0.4839  2 Sb 2.97, 2 Ga 3.04

***

7.
Computed, not measured: a relaxed Ga3SbBr crystal at the PBE level of DFT.

Properties
**Crystal system**: cubic
**Fermi-level density of states**: 3.3 states/eV/f.u.
**Uncorrected formation energy**: 0.26 eV/atom
**Total moment**: 0.00 μB per formula unit

Cell lengths 5.5424, 5.5424, 5.5424 Å; angles 90.00, 90.00, 90.00 degrees
Closest atoms and distances in Å follow each position.
Fractional coordinates of all 5 atoms:
Ga: 0.0000 0.0000 0.5000  2 Sb 2.77
Ga: 0.0000 0.5000 0.0000  2 Sb 2.77
Ga: 0.5000 0.0000 0.0000  2 Sb 2.77
Sb: 0.0000 0.0000 0.0000  6 Ga 2.77
Br: 0.5000 0.5000 0.5000  12 Ga 3.92

***

8.
Computed, not measured: a relaxed Ga2Sb2Br crystal at the PBE level of DFT.

Properties
**Crystal system**: tetragonal
**Fermi-level density of states**: 2.7 states/eV/f.u.
**Excess energy over the best structure of this formula in the dataset**: 0.030 eV per atom
**Uncorrected formation energy**: -0.05 eV/atom
**Total moment**: 0.00 μB per formula unit

Cell lengths 7.8990, 7.8990, 7.8990 Å; angles 148.20, 148.20, 45.59 degrees
Closest atoms and distances in Å follow each position.
Fractional coordinates of all 5 atoms:
Ga: 0.0922 0.0922 0.0000  1 Ga 2.69
Ga: 0.9078 0.9078 0.0000  1 Ga 2.69
Sb: 0.2500 0.7500 0.5000  4 Sb 3.06, 4 Ga 3.16
Sb: 0.7500 0.2500 0.5000  4 Sb 3.06, 4 Ga 3.16
Br: 0.5000 0.5000 0.0000  8 Ga 3.34

***

9.
Computed, not measured: a relaxed GaSbBr crystal at the PBE level of DFT.

Properties
**Crystal system**: orthorhombic
**Fermi-level density of states**: 0.6 states/eV/f.u.
**Excess energy over the best structure of this formula in the dataset**: 0.036 eV per atom
**Uncorrected formation energy**: -0.25 eV/atom
**Total moment**: 0.00 μB per formula unit

Cell lengths 7.9857, 4.1741, 11.8657 Å; angles 90.00, 90.00, 90.00 degrees
Closest atoms and distances in Å follow each position.
Fractional coordinates of all 12 atoms:
Ga: 0.1621 0.2500 0.2163  2 Br 2.75, 2 Sb 2.87-2.93
Ga: 0.3379 0.7500 0.7163  2 Br 2.75, 2 Sb 2.87-2.93
Ga: 0.6621 0.2500 0.2837  2 Br 2.75, 2 Sb 2.87-2.93
Ga: 0.8379 0.7500 0.7837  2 Br 2.75, 2 Sb 2.87-2.93
Sb: 0.0316 0.7500 0.5799  2 Sb 2.86, 2 Ga 2.87-2.93
Sb: 0.4684 0.2500 0.0799  2 Sb 2.86, 2 Ga 2.87-2.93
Sb: 0.5316 0.7500 0.9201  2 Sb 2.86, 2 Ga 2.87-2.93
Sb: 0.9684 0.2500 0.4201  2 Sb 2.86, 2 Ga 2.87-2.93
Br: 0.0377 0.2500 0.8525  2 Ga 2.75
Br: 0.4623 0.7500 0.3525  2 Ga 2.75
Br: 0.5377 0.2500 0.6475  2 Ga 2.75
Br: 0.9623 0.7500 0.1475  2 Ga 2.75

***

10.
Computed, not measured: a relaxed GaSbBr2 crystal at the PBE level of DFT.

Properties
**Crystal system**: trigonal
**Fermi-level density of states**: 0.8 states/eV/f.u.
**Excess energy over the best structure of this formula in the dataset**: 0.000 eV per atom
**Uncorrected formation energy**: -0.25 eV/atom
**Total moment**: 0.00 μB per formula unit

Cell lengths 10.0630, 10.0630, 10.0630 Å; angles 21.46, 21.46, 21.46 degrees
Closest atoms and distances in Å follow each position.
Fractional coordinates of all 4 atoms:
Ga: 0.0000 0.0000 0.0000  6 Br 3.03
Sb: 0.5000 0.5000 0.5000  2 Br 2.79
Br: 0.4052 0.4052 0.4052  1 Sb 2.79, 3 Ga 3.03
Br: 0.5948 0.5948 0.5948  1 Sb 2.79, 3 Ga 3.03

***

11.
Computed, not measured: a relaxed GaSb2Br crystal at the PBE level of DFT.

Properties
**Crystal system**: tetragonal
**Fermi-level density of states**: 0.6 states/eV/f.u.
**Excess energy over the best structure of this formula in the dataset**: 0.000 eV per atom
**Uncorrected formation energy**: -0.03 eV/atom
**Total moment**: 0.00 μB per formula unit

Cell lengths 12.7489, 12.7489, 12.7489 Å; angles 160.14, 160.14, 28.23 degrees
Closest atoms and distances in Å follow each position.
Fractional coordinates of all 8 atoms:
Ga: 0.0000 0.0000 0.0000  4 Br 3.11, 4 Sb 3.41
Ga: 0.7500 0.2500 0.5000  4 Br 3.11, 4 Sb 3.41
Sb: 0.0850 0.6250 0.9600  2 Sb 2.87
Sb: 0.3750 0.3350 0.4600  2 Sb 2.87
Sb: 0.6650 0.1250 0.0400  2 Sb 2.87
Sb: 0.8750 0.9150 0.5400  2 Sb 2.87
Br: 0.2500 0.7500 0.5000  4 Ga 3.11
Br: 0.5000 0.5000 0.0000  4 Ga 3.11